DFT (PBE-GGA) results for Ba2Hf3PaO12 after structural relaxation.

Cell and atoms, written as POSCAR:
```
Ba2Hf3PaO12
1.0
3.7581 2.1698 6.3727
-3.7581 2.1698 6.3727
0.0000 -4.3395 6.3727
Ba Hf Pa O
2 3 1 12
Direct
0.1028 0.1028 0.1028 Ba
0.8972 0.8972 0.8972 Ba
0.0000 0.5000 0.5000 Hf
0.5000 0.0000 0.5000 Hf
0.5000 0.5000 0.0000 Hf
0.5000 0.5000 0.5000 Pa
0.1632 0.5796 0.5796 O
0.1712 0.1712 0.5880 O
0.1712 0.5880 0.1712 O
0.4120 0.8288 0.8288 O
0.4204 0.4204 0.8368 O
0.4204 0.8368 0.4204 O
0.5796 0.1632 0.5796 O
0.5796 0.5796 0.1632 O
0.5880 0.1712 0.1712 O
0.8288 0.4120 0.8288 O
0.8288 0.8288 0.4120 O
0.8368 0.4204 0.4204 O
```

Calculated values
VASP energy = -154.02 eV for the cell shown
magnetic moment = 3.10 μB per formula unit